NaIn6Hg6: relaxed, PBE-GGA.

Unit cell a=6.3795 b=8.4393 c=8.4350 alpha=71.89 beta=64.02 gamma=64.07
With the nearest neighbours (Å) after each atom.
Atoms (fractional coordinates):
Na (0.0000, 0.0000, 0.0000)  6 Hg 3.39-3.72
In (0.0000, 0.5000, 0.0000)  4 Hg 3.04-3.18, 4 In 3.18-3.19
In (0.5000, 0.5000, 0.0000)  6 Hg 3.08-3.31, 4 In 3.19-3.41
In (0.0000, 0.0000, 0.5000)  4 Hg 3.04-3.17, 4 In 3.17-3.19
In (0.5000, 0.0000, 0.5000)  6 Hg 3.08-3.30, 4 In 3.19-3.43
In (0.4975, 0.7366, 0.2630)  6 Hg 3.12-3.29, 4 In 3.17-3.43
In (0.5025, 0.2634, 0.7370)  6 Hg 3.12-3.29, 4 In 3.17-3.43
Hg (0.3286, 0.6776, 0.6774)  6 In 3.04-3.12
Hg (0.6714, 0.3224, 0.3226)  6 In 3.04-3.12
Hg (0.0029, 0.3445, 0.6562)  1 Hg 3.09, 4 In 3.29-3.31, 1 Na 3.41
Hg (0.9971, 0.6555, 0.3438)  1 Hg 3.09, 4 In 3.29-3.31, 1 Na 3.41
Hg (0.3694, 0.1493, 0.1495)  6 In 3.13-3.18, 1 Na 3.39, 1 Hg 3.48
Hg (0.6306, 0.8507, 0.8505)  6 In 3.13-3.18, 1 Na 3.39, 1 Hg 3.48

For the energy above the most stable polymorph in this dataset, the calculation gives 0 meV per atom. Its total magnetization is 0.000 μB per formula unit. The space-group type is No. 2. As for the formation energy: -0.0087 eV/atom.

VFePb2: relaxed, PBE-GGA.

Unit cell a=4.7491 b=4.7491 c=4.7491 alpha=60.00 beta=60.00 gamma=60.00
With the nearest neighbours (Å) after each atom.
Atoms (fractional coordinates):
Pb (0.2500, 0.2500, 0.2500)  4 Fe 2.91, 4 V 2.91
Pb (0.7500, 0.7500, 0.7500)  4 V 2.91, 4 Fe 2.91
Fe (0.5000, 0.5000, 0.5000)  8 Pb 2.91
V (0.0000, 0.0000, 0.0000)  8 Pb 2.91

For the energy above the most stable polymorph in this dataset, the calculation gives 0 meV per atom. Its total magnetization is 3.053 μB per formula unit. The space-group type is No. 225. As for the formation energy: 0.6896 eV/atom.

TaReRu2Br: relaxed, PBE-GGA.

Unit cell a=4.8350 b=4.9549 c=4.8350 alpha=90.00 beta=90.00 gamma=90.00
With the nearest neighbours (Å) after each atom.
Atoms (fractional coordinates):
Re (0.0000, 0.5000, 0.0000)  2 Ta 2.48
Ru (0.0000, 0.0000, 0.5000)  2 Ta 2.42
Ru (0.5000, 0.0000, 0.0000)  2 Ta 2.42
Br (0.5000, 0.5000, 0.5000)  4 Re 3.42, 8 Ru 3.46
Ta (0.0000, 0.0000, 0.0000)  4 Ru 2.42, 2 Re 2.48

Its total magnetization is 5.170 μB per formula unit. The space-group type is No. 123. The calculated total energy comes out at -34.45 eV for the cell shown.

SbTe5Pb4: relaxed, PBE-GGA.

Unit cell a=4.6148 b=4.6148 c=16.5487 alpha=98.01 beta=98.01 gamma=90.00
With the nearest neighbours (Å) after each atom.
Atoms (fractional coordinates):
Sb (0.0000, 0.0000, 0.0000)  6 Te 3.15-3.26
Te (0.0970, 0.0970, 0.1939)  1 Sb 3.15, 5 Pb 3.26-3.32
Te (0.5000, 0.5000, 0.0000)  2 Pb 3.23, 4 Sb 3.26
Te (0.9030, 0.9030, 0.8061)  1 Sb 3.15, 5 Pb 3.26-3.32
Te (0.2995, 0.2995, 0.5989)  6 Pb 3.25-3.28
Te (0.7005, 0.7005, 0.4011)  6 Pb 3.25-3.28
Pb (0.4005, 0.4005, 0.8011)  6 Te 3.23-3.28
Pb (0.8007, 0.8007, 0.6013)  6 Te 3.25-3.32
Pb (0.1993, 0.1993, 0.3987)  6 Te 3.25-3.32
Pb (0.5995, 0.5995, 0.1989)  6 Te 3.23-3.28

Its total magnetization is 0.000 μB per formula unit. The space-group type is No. 139. The calculated total energy comes out at -37.70 eV for the cell shown.

NaEuTmAl: relaxed, PBE-GGA.

Unit cell a=5.4066 b=5.4066 c=5.4066 alpha=60.00 beta=60.00 gamma=60.00
With the nearest neighbours (Å) after each atom.
Atoms (fractional coordinates):
Eu (0.0000, 0.0000, 0.0000)  4 Na 3.31, 4 Al 3.31
Na (0.2500, 0.2500, 0.2500)  4 Tm 3.31, 4 Eu 3.31
Tm (0.5000, 0.5000, 0.5000)  4 Na 3.31, 4 Al 3.31
Al (0.7500, 0.7500, 0.7500)  4 Tm 3.31, 4 Eu 3.31

Its total magnetization is 7.253 μB per formula unit. The space-group type is No. 216. As for the formation energy: 0.0164 eV/atom.

CeGd2Fe: relaxed, PBE-GGA.

Unit cell a=3.3101 b=3.3101 c=11.1521 alpha=81.47 beta=81.47 gamma=60.00
With the nearest neighbours (Å) after each atom.
Atoms (fractional coordinates):
Gd (0.0792, 0.0792, 0.7625)  1 Fe 2.61
Gd (0.9208, 0.9208, 0.2375)  1 Fe 2.61
Fe (0.0000, 0.0000, 0.0000)  2 Gd 2.61
Ce (0.5000, 0.5000, 0.5000)  6 Ce 3.31, 6 Gd 3.46

For the energy above the most stable polymorph in this dataset, the calculation gives 432 meV per atom. Its total magnetization is 11.931 μB per formula unit. The space-group type is No. 166. As for the formation energy: 0.5635 eV/atom.

MnNi4Pt2: relaxed, PBE-GGA.

Unit cell a=4.5841 b=4.5840 c=5.7411 alpha=113.53 beta=113.53 gamma=90.00
With the nearest neighbours (Å) after each atom.
Atoms (fractional coordinates):
Mn (0.0000, 0.0000, 0.0000)  4 Ni 2.29
Ni (0.7500, 0.2501, 0.5000)  2 Ni 2.37, 4 Pt 2.52
Ni (0.2500, 0.7499, 0.5000)  2 Ni 2.37, 4 Pt 2.52
Ni (0.5000, 0.0000, 0.0000)  2 Mn 2.29, 2 Ni 2.37
Ni (0.0000, 0.5000, 0.0000)  2 Mn 2.29, 2 Ni 2.37
Pt (0.6391, 0.6391, 0.2782)  8 Ni 2.52-2.64, 1 Pt 2.64
Pt (0.3609, 0.3609, 0.7218)  8 Ni 2.52-2.64, 1 Pt 2.64

For the energy above the most stable polymorph in this dataset, the calculation gives 298 meV per atom. Its total magnetization is 6.084 μB per formula unit. The space-group type is No. 139. As for the formation energy: 0.3280 eV/atom.

Dy2Tl2Ru: relaxed, PBE-GGA.

Unit cell a=3.3931 b=3.3931 c=11.1706 alpha=98.74 beta=98.74 gamma=90.00
With the nearest neighbours (Å) after each atom.
Atoms (fractional coordinates):
Dy (0.5764, 0.5764, 0.1529)  4 Ru 2.92
Dy (0.4236, 0.4236, 0.8471)  4 Ru 2.92
Tl (0.8052, 0.8052, 0.6105)  8 Tl 3.39-3.40, 4 Dy 3.52
Tl (0.1948, 0.1948, 0.3895)  8 Tl 3.39-3.40, 4 Dy 3.52
Ru (0.0000, 0.0000, 0.0000)  8 Dy 2.92

Its total magnetization is 0.000 μB per formula unit. The space-group type is No. 139. As for the formation energy: -0.3037 eV/atom.

ZrTi3Zn: relaxed, PBE-GGA.

Unit cell a=4.8048 b=4.8048 c=4.8048 alpha=90.00 beta=90.00 gamma=90.00
With the nearest neighbours (Å) after each atom.
Atoms (fractional coordinates):
Zn (0.5000, 0.5000, 0.5000)  12 Ti 3.40
Zr (0.0000, 0.0000, 0.0000)  6 Ti 2.40
Ti (0.0000, 0.5000, 0.0000)  2 Zr 2.40
Ti (0.0000, 0.0000, 0.5000)  2 Zr 2.40
Ti (0.5000, 0.0000, 0.0000)  2 Zr 2.40

For the energy above the most stable polymorph in this dataset, the calculation gives 1255 meV per atom. Its total magnetization is 1.345 μB per formula unit. The space-group type is No. 221. As for the formation energy: 1.1951 eV/atom.

CaRuI2: relaxed, PBE-GGA.

Unit cell a=5.2661 b=5.2661 c=5.2661 alpha=60.00 beta=60.00 gamma=60.00
With the nearest neighbours (Å) after each atom.
Atoms (fractional coordinates):
I (0.2500, 0.2500, 0.2500)  4 Ca 3.22, 4 Ru 3.22
I (0.7500, 0.7500, 0.7500)  4 Ru 3.22, 4 Ca 3.22
Ru (0.5000, 0.5000, 0.5000)  8 I 3.22
Ca (0.0000, 0.0000, 0.0000)  8 I 3.22

For the energy above the most stable polymorph in this dataset, the calculation gives 46 meV per atom. Its total magnetization is 2.000 μB per formula unit. The space-group type is No. 225.

BeMoSCl2: relaxed, PBE-GGA.

Unit cell a=4.9481 b=4.9481 c=4.6329 alpha=90.00 beta=90.00 gamma=90.00
With the nearest neighbours (Å) after each atom.
Atoms (fractional coordinates):
Be (0.5000, 0.5000, 0.5000)  8 Cl 3.39, 4 S 3.50
Mo (0.0000, 0.0000, 0.0000)  2 S 2.32, 4 Cl 2.47
S (0.0000, 0.0000, 0.5000)  2 Mo 2.32
Cl (0.0000, 0.5000, 0.0000)  2 Mo 2.47
Cl (0.5000, 0.0000, 0.0000)  2 Mo 2.47

For the energy above the most stable polymorph in this dataset, the calculation gives 181 meV per atom. Its total magnetization is 1.423 μB per formula unit. The space-group type is No. 123.

TlZnFe2: relaxed, PBE-GGA.

Unit cell a=4.8977 b=4.8977 c=4.8977 alpha=133.08 beta=133.37 gamma=68.31
With the nearest neighbours (Å) after each atom.
Atoms (fractional coordinates):
Fe (0.0003, 0.0003, 0.0000)  4 Fe 2.75, 4 Zn 2.80-2.81, 4 Tl 2.81
Fe (0.4997, 0.4997, 0.0000)  4 Fe 2.75, 4 Zn 2.80-2.81, 4 Tl 2.81
Tl (0.2500, 0.7500, 0.5000)  4 Zn 2.75, 8 Fe 2.81
Zn (0.7500, 0.2500, 0.5000)  4 Tl 2.75, 8 Fe 2.80-2.81

For the energy above the most stable polymorph in this dataset, the calculation gives 104 meV per atom. Its total magnetization is 5.091 μB per formula unit. The space-group type is No. 71. As for the formation energy: 0.3966 eV/atom.